AlAs2P after structural relaxation. Source: Alexandria via LeMat-Bulk, functional PBE.

Calculated values
- Calculated formation energy: 0.106 eV per atom
- Energy above the most stable polymorph in this dataset: 4.25 kcal/mol of atoms

Unit cell a=2.7648 b=5.1571 c=5.5810 alpha=90.00 beta=103.97 gamma=90.00
Positions (direct):
1 Al 0.0000 0.0000 0.0000
2 As 0.7277 0.0000 0.4486
3 As 0.7666 0.5000 0.5162
4 P 0.9776 0.5000 0.9501


Pr5Nd2 after structural relaxation. Source: Alexandria via LeMat-Bulk, functional PBE.

Calculated values
- Calculated formation energy: 0.095 eV per atom
- Energy above the most stable polymorph in this dataset: 0.00 kcal/mol of atoms

Unit cell a=5.7678 b=5.7678 c=9.4329 alpha=113.24 beta=113.24 gamma=64.57
Positions (direct):
1 Pr 0.0000 0.0000 0.0000
2 Pr 0.1434 0.1434 0.4290
3 Pr 0.4284 0.4284 0.2841
4 Pr 0.5716 0.5716 0.7159
5 Pr 0.8566 0.8566 0.5710
6 Nd 0.2851 0.2851 0.8568
7 Nd 0.7149 0.7149 0.1432


MoRu2Pt2Rh2 after structural relaxation. Source: Alexandria via LeMat-Bulk, functional PBE.

Calculated values
- Calculated formation energy: 0.147 eV per atom

Unit cell a=4.6812 b=4.6812 c=7.9484 alpha=117.33 beta=117.33 gamma=48.23
Positions (direct):
1 Mo 0.0000 0.0000 0.0000
2 Ru 0.3616 0.3616 0.1265
3 Ru 0.6384 0.6384 0.8735
4 Pt 0.2840 0.2840 0.7547
5 Pt 0.7160 0.7160 0.2453
6 Rh 0.0756 0.0756 0.3793
7 Rh 0.9244 0.9244 0.6207


PrTh4Sc5 after structural relaxation. Source: Alexandria via LeMat-Bulk, functional PBE.

Calculated values
- Calculated formation energy: 0.031 eV per atom

Unit cell a=3.4804 b=3.4804 c=23.7416 alpha=90.00 beta=90.00 gamma=90.00
Positions (direct):
1 Pr 0.0000 0.0000 0.0000
2 Th 0.0000 0.0000 0.2022
3 Th 0.0000 0.0000 0.4007
4 Th 0.0000 0.0000 0.5993
5 Th 0.0000 0.0000 0.7978
6 Sc 0.5000 0.5000 0.1049
7 Sc 0.5000 0.5000 0.3014
8 Sc 0.5000 0.5000 0.5000
9 Sc 0.5000 0.5000 0.6986
10 Sc 0.5000 0.5000 0.8951


InPtSeN2 after structural relaxation. Source: Alexandria via LeMat-Bulk, functional PBE.

Calculated values
- Energy above the most stable polymorph in this dataset: 17.10 kcal/mol of atoms

Unit cell a=4.1005 b=4.1005 c=5.7534 alpha=90.00 beta=90.00 gamma=90.00
Positions (direct):
1 In 0.0000 0.0000 0.0000
2 Pt 0.0000 0.0000 0.5000
3 Se 0.5000 0.5000 0.5000
4 N 0.0000 0.5000 0.0000
5 N 0.5000 0.0000 0.0000


UIr2Ru2 after structural relaxation. Source: Alexandria via LeMat-Bulk, functional PBE.

Calculated values
- Calculated formation energy: 0.202 eV per atom
- Energy above the most stable polymorph in this dataset: 8.55 kcal/mol of atoms

Unit cell a=4.5064 b=4.5064 c=9.7893 alpha=90.00 beta=90.00 gamma=120.00
Positions (direct):
1 U 0.0000 0.0000 0.2500
2 U 0.0000 0.0000 0.7500
3 Ir 0.3333 0.6667 0.0514
4 Ir 0.3333 0.6667 0.4486
5 Ir 0.6667 0.3333 0.5514
6 Ir 0.6667 0.3333 0.9486
7 Ru 0.0000 0.0000 0.0000
8 Ru 0.0000 0.0000 0.5000
9 Ru 0.3333 0.6667 0.7500
10 Ru 0.6667 0.3333 0.2500


For each record above, in turn, the calculated DOS at the Fermi energy values are 1.92, 14.46, 8.18, 13.33, 2.46, 11.76 states/eV per cell.